## Ho2Mg4Sc (PBE)

Data for Ho2Mg4Sc after structural relaxation.

Computed properties:
**Space group**: Cmmm (65)
**Formation enthalpy at 0 K**: 289 kJ/mol of formula units
**Polymorph energy (0 for the lowest one)**: 0.4005 eV per atom
**Uncorrected energy**: -2.695 eV/atom

Unit cell a=7.2073 b=7.2073 c=5.2410 alpha=90.00 beta=90.00 gamma=131.63
Last column: nearest neighbours and their distance in Å.
Positions (direct):
1 Ho 0.1334 0.8666 0.0000  4 Mg 2.97-3.20
2 Ho 0.8666 0.1334 0.0000  4 Mg 2.97-3.20
3 Mg 0.2727 0.7273 0.5000  1 Sc 2.99, 4 Mg 3.01-3.03, 2 Ho 3.20
4 Mg 0.3882 0.6118 0.0000  3 Mg 2.94-3.03, 2 Ho 2.97, 2 Sc 3.00
5 Mg 0.6118 0.3882 0.0000  3 Mg 2.94-3.03, 2 Ho 2.97, 2 Sc 3.00
6 Mg 0.7273 0.2727 0.5000  1 Sc 2.99, 4 Mg 3.01-3.03, 2 Ho 3.20
7 Sc 0.5000 0.5000 0.5000  6 Mg 2.99-3.00



## Ho3Mg2Sc3 (PBE)

Data for Ho3Mg2Sc3 after structural relaxation.

Computed properties:
**Space group**: Immm (71)
**Formation enthalpy at 0 K**: -3 kJ/mol of formula units
**Uncorrected energy**: -4.494 eV/atom

Unit cell a=9.7505 b=9.7505 c=9.7505 alpha=151.60 beta=151.12 gamma=40.94
Last column: nearest neighbours and their distance in Å.
Positions (direct):
1 Ho 0.0000 0.0000 0.0000  4 Ho 3.35, 8 Sc 3.36-3.41
2 Ho 0.3734 0.8734 0.5000  4 Mg 3.29-3.31, 6 Sc 3.33-3.41, 2 Ho 3.35
3 Ho 0.6266 0.1266 0.5000  4 Mg 3.29-3.31, 6 Sc 3.33-3.41, 2 Ho 3.35
4 Mg 0.2497 0.2497 0.0000  4 Sc 3.25-3.28, 4 Ho 3.29-3.31, 4 Mg 3.41
5 Mg 0.7503 0.7503 0.0000  4 Sc 3.25-3.28, 4 Ho 3.29-3.31, 4 Mg 3.41
6 Sc 0.1295 0.6295 0.5000  4 Mg 3.25-3.28, 6 Ho 3.36-3.41, 2 Sc 3.39
7 Sc 0.5000 0.5000 0.0000  8 Ho 3.33-3.41, 4 Sc 3.39
8 Sc 0.8705 0.3705 0.5000  4 Mg 3.25-3.28, 6 Ho 3.36-3.41, 2 Sc 3.39



## HoMg5Sc4 (PBE)

Data for HoMg5Sc4 after structural relaxation.

Computed properties:
**Space group**: P4/mmm (123)
**Formation enthalpy at 0 K**: -43 kJ/mol of formula units
**Uncorrected energy**: -3.832 eV/atom

Unit cell a=3.6237 b=3.6237 c=18.2740 alpha=90.00 beta=90.00 gamma=90.00
Last column: nearest neighbours and their distance in Å.
Positions (direct):
1 Ho 0.0000 0.0000 0.0000  8 Mg 3.27, 4 Ho 3.62
2 Mg 0.5000 0.5000 0.1110  4 Sc 3.11, 4 Ho 3.27
3 Mg 0.5000 0.5000 0.3049  8 Sc 3.12
4 Mg 0.5000 0.5000 0.5000  8 Sc 3.12
5 Mg 0.5000 0.5000 0.6951  8 Sc 3.12
6 Mg 0.5000 0.5000 0.8890  4 Sc 3.11, 4 Ho 3.27
7 Sc 0.0000 0.0000 0.2072  8 Mg 3.11-3.12
8 Sc 0.0000 0.0000 0.4026  8 Mg 3.12
9 Sc 0.0000 0.0000 0.5974  8 Mg 3.12
10 Sc 0.0000 0.0000 0.7928  8 Mg 3.11-3.12



## Ho3MgSc2 (PBE)

Data for Ho3MgSc2 after structural relaxation.

Computed properties:
**Space group**: C2/c (15)
**Formation enthalpy at 0 K**: 24 kJ/mol of formula units
**Polymorph energy (0 for the lowest one)**: 0.0335 eV per atom
**Uncorrected energy**: -4.623 eV/atom

Unit cell a=8.9877 b=8.9877 c=5.8604 alpha=90.01 beta=90.01 gamma=44.32
Last column: nearest neighbours and their distance in Å.
Positions (direct):
1 Ho 0.1276 0.8724 0.7500  4 Mg 3.36-3.41, 4 Ho 3.40-3.41, 4 Sc 3.41
2 Ho 0.2040 0.4582 0.9151  4 Ho 3.33-3.41, 6 Sc 3.34-3.43, 2 Mg 3.43-3.45
3 Ho 0.4582 0.2040 0.4151  4 Ho 3.33-3.41, 6 Sc 3.34-3.43, 2 Mg 3.43-3.45
4 Ho 0.5418 0.7960 0.5849  4 Ho 3.33-3.41, 6 Sc 3.34-3.43, 2 Mg 3.43-3.45
5 Ho 0.7960 0.5418 0.0849  4 Ho 3.33-3.41, 6 Sc 3.34-3.43, 2 Mg 3.43-3.45
6 Ho 0.8724 0.1276 0.2500  4 Mg 3.36-3.41, 4 Ho 3.40-3.41, 4 Sc 3.41
7 Mg 0.3700 0.6300 0.2500  8 Ho 3.36-3.45, 2 Sc 3.41, 2 Mg 3.42
8 Mg 0.6300 0.3700 0.7500  8 Ho 3.36-3.45, 2 Sc 3.41, 2 Mg 3.42
9 Sc 0.0461 0.2896 0.5831  8 Ho 3.34-3.43, 3 Sc 3.36-3.39, 1 Mg 3.41
10 Sc 0.2896 0.0461 0.0832  8 Ho 3.34-3.43, 3 Sc 3.36-3.39, 1 Mg 3.41
11 Sc 0.7104 0.9539 0.9168  8 Ho 3.34-3.43, 3 Sc 3.36-3.39, 1 Mg 3.41
12 Sc 0.9539 0.7104 0.4168  8 Ho 3.34-3.43, 3 Sc 3.36-3.39, 1 Mg 3.41